# 1
# CsV4Cl2, relaxed, DFT PBE
# - Formation energy from raw total energies: 1.652 eV per atom
data_CsV4Cl2
_chemical_formula_sum 'Cs2 V8 Cl4'
_cell_length_a 5.250
_cell_length_b 5.250
_cell_length_c 13.502
_cell_angle_alpha 90.00
_cell_angle_beta 90.00
_cell_angle_gamma 90.00
_symmetry_space_group_name_H-M 'I 4/m m m'
_symmetry_Int_Tables_number 139
_symmetry_space_group_name_Hall '-I 4 2'
loop_
_atom_site_label
_atom_site_fract_x
_atom_site_fract_y
_atom_site_fract_z
Cs1 0.000 0.000 0.000
V1 0.000 0.000 0.221
V2 0.000 0.500 0.000
Cl1 0.000 0.000 0.396


# 2
# Li6Tl5Cu, relaxed, DFT PBE
# - ΔH_f (0 K): -0.1678 eV/atom
data_Li6Tl5Cu
_chemical_formula_sum 'Li12 Tl10 Cu2'
_cell_length_a 4.795
_cell_length_b 6.782
_cell_length_c 14.574
_cell_angle_alpha 90.00
_cell_angle_beta 90.00
_cell_angle_gamma 90.00
_symmetry_space_group_name_H-M 'I m m m'
_symmetry_Int_Tables_number 71
_symmetry_space_group_name_Hall '-I 2 2'
loop_
_atom_site_label
_atom_site_fract_x
_atom_site_fract_y
_atom_site_fract_z
Li1 0.000 0.239 0.000
Li2 0.000 0.259 0.340
Tl1 0.000 0.000 0.159
Tl2 0.000 0.000 0.500
Tl3 0.000 0.500 0.169
Cu1 0.000 0.500 0.500


# 3
# Ga3NiPt3, relaxed, DFT PBE
# - ΔH_f (0 K): -0.5291 eV/atom
data_Ga3NiPt3
_chemical_formula_sum 'Ga12 Ni4 Pt12'
_cell_length_a 10.792
_cell_length_b 3.787
_cell_length_c 10.379
_cell_angle_alpha 90.00
_cell_angle_beta 90.00
_cell_angle_gamma 90.00
_symmetry_space_group_name_H-M 'P n m a'
_symmetry_Int_Tables_number 62
loop_
_symmetry_equiv_pos_as_xyz
'x,y,z'
'-x,-y,-z'
'-x+1/2,-y,z+1/2'
'x+1/2,y,-z+1/2'
'x+1/2,-y+1/2,-z+1/2'
'-x+1/2,y+1/2,z+1/2'
'-x,y+1/2,-z'
'x,-y+1/2,z'
loop_
_atom_site_label
_atom_site_fract_x
_atom_site_fract_y
_atom_site_fract_z
Ga1 0.056 0.250 0.078
Ga2 0.090 0.250 0.569
Ga3 0.197 0.750 0.332
Ni1 0.076 0.250 0.823
Pt1 0.037 0.250 0.324
Pt2 0.191 0.750 0.970
Pt3 0.226 0.750 0.678


# 4
# Mn2RhBr, relaxed, DFT PBE
# - Formation energy from raw total energies: 0.492 eV per atom
data_Mn2RhBr
_chemical_formula_sum 'Mn4 Rh2 Br2'
_cell_length_a 4.195
_cell_length_b 4.195
_cell_length_c 7.566
_cell_angle_alpha 90.00
_cell_angle_beta 90.00
_cell_angle_gamma 90.00
_symmetry_space_group_name_H-M 'I 4/m m m'
_symmetry_Int_Tables_number 139
_symmetry_space_group_name_Hall '-I 4 2'
loop_
_atom_site_label
_atom_site_fract_x
_atom_site_fract_y
_atom_site_fract_z
Mn1 0.000 0.500 0.250
Rh1 0.000 0.000 0.000
Br1 0.000 0.000 0.500


# 5
# Er5PtS4, relaxed, DFT PBE
# - Formation energy from raw total energies: -1.796 eV per atom
data_Er5PtS4
_chemical_formula_sum 'Er10 Pt2 S8'
_cell_length_a 3.896
_cell_length_b 3.896
_cell_length_c 28.094
_cell_angle_alpha 90.00
_cell_angle_beta 90.00
_cell_angle_gamma 90.00
_symmetry_space_group_name_H-M 'I 4/m m m'
_symmetry_Int_Tables_number 139
_symmetry_space_group_name_Hall '-I 4 2'
loop_
_atom_site_label
_atom_site_fract_x
_atom_site_fract_y
_atom_site_fract_z
Er1 0.000 0.000 0.000
Er2 0.000 0.000 0.203
Er3 0.000 0.000 0.398
Pt1 0.000 0.000 0.500
S1 0.000 0.000 0.105
S2 0.000 0.000 0.301


# 6
# CaPm6Tl4, relaxed, DFT PBE
# - ΔH_f (0 K): -0.0942 eV/atom
data_CaPm6Tl4
_chemical_formula_sum 'Ca2 Pm12 Tl8'
_cell_length_a 7.967
_cell_length_b 7.967
_cell_length_c 12.135
_cell_angle_alpha 90.00
_cell_angle_beta 90.00
_cell_angle_gamma 90.00
_symmetry_space_group_name_H-M 'I -4 2 m'
_symmetry_Int_Tables_number 121
_symmetry_space_group_name_Hall 'I -4 2'
loop_
_atom_site_label
_atom_site_fract_x
_atom_site_fract_y
_atom_site_fract_z
Ca1 0.000 0.000 0.000
Pm1 0.000 0.500 0.000
Pm2 0.188 0.188 0.290
Tl1 0.170 0.170 0.573


no.,V (Å³/atom)
1,26.580
2,19.747
3,15.151
4,16.644
5,21.323
6,35.011